The following is a DFT calculation (GGA-PBE) of crystalline TaInNi2W at its relaxed geometry.

DFT formation energy ... 1.6068 eV per atom
VASP energy ... -6.21 eV/atom
Space group ... P4/mmm (123)
Mass density ... 9.91 g/cm³

extended XYZ file:
```
5
Lattice="4.454 0.000 0.000 0.000 4.454 0.000 0.000 0.000 5.042" Properties=species:S:1:pos:R:3 pbc="T T T"
Ta 0.000 0.000 0.000
In 2.227 2.227 0.000
Ni 0.000 2.227 2.521
Ni 2.227 0.000 2.521
W 2.227 2.227 2.521
```

The following is a DFT calculation (GGA-PBE) of crystalline CsPaSeO2 at its relaxed geometry.

VASP energy ... -7.14 eV/atom
Space group ... P4mm (99)
ΔE_f (raw) ... -2389 meV per atom
Mass density ... 6.78 g/cm³

extended XYZ file:
```
5
Lattice="4.444 0.000 0.000 0.000 4.444 0.000 0.000 0.000 5.884" Properties=species:S:1:pos:R:3 pbc="T T T"
Cs 0.000 0.000 0.000
Pa 2.222 2.222 2.400
Se 2.222 2.222 5.148
O 0.000 2.222 2.285
O 2.222 0.000 2.285
```

The following is a DFT calculation (GGA-PBE) of crystalline YSb2Rh2 at its relaxed geometry.

VASP energy ... -6.38 eV/atom
Space group ... P4/mbm (127)
ΔE_f (raw) ... -497 meV per atom
Mass density ... 8.83 g/cm³

extended XYZ file:
```
10
Lattice="7.737 0.000 0.000 0.000 7.737 0.000 0.000 0.000 3.382" Properties=species:S:1:pos:R:3 pbc="T T T"
Y 0.000 0.000 0.000
Y 3.868 3.868 0.000
Sb 1.248 2.620 1.691
Sb 2.620 6.489 1.691
Sb 5.117 1.248 1.691
Sb 6.489 5.117 1.691
Rh 1.001 4.870 0.000
Rh 2.867 1.001 0.000
Rh 4.870 6.736 0.000
Rh 6.736 2.867 0.000
```